[1]
A plane-wave DFT calculation with PBE was carried out for crystalline Sc2Te2Br at its relaxed geometry.

Geometry as POSCAR:
```
Sc2Te2Br
1.0
8.0359 0.0000 0.0000
0.0000 8.0359 0.0000
0.0000 0.0000 3.8524
Sc Te Br
4 4 2
Cartesian
2.8422 6.8601 0.0000 Sc
6.8601 5.1937 0.0000 Sc
5.1937 1.1757 0.0000 Sc
1.1757 2.8422 0.0000 Sc
1.1705 5.1884 1.9262 Te
5.1884 6.8654 1.9262 Te
6.8654 2.8475 1.9262 Te
2.8475 1.1705 1.9262 Te
0.0000 0.0000 0.0000 Br
4.0179 4.0179 0.0000 Br
```

Summary:
Energy in eV/atom: -5.301
Offset from the most stable computed form in eV/atom: 0.119

[2]
A plane-wave DFT calculation with PBE was carried out for crystalline Pm3Si4Ni7 at its relaxed geometry.

Geometry as POSCAR:
```
Pm3Si4Ni7
1.0
-3.9185 -0.1071 -0.1672
-1.5819 -4.9721 -5.7786
-1.9129 -6.9134 3.2224
Pm Si Ni
3 4 7
Cartesian
-1.8826 -2.1430 -0.5430 Pm
-5.5307 -9.8496 -2.1803 Pm
-1.7474 -5.9428 -1.2781 Pm
-3.7350 -3.8295 -2.0843 Si
-3.6783 -8.1630 -0.6390 Si
-5.5252 -6.8063 -4.2582 Si
-1.8881 -5.1863 1.5349 Si
-3.5721 -7.9172 -3.2856 Ni
-3.7940 -6.5762 1.0582 Ni
-5.6817 -8.4803 0.4813 Ni
-3.8412 -4.0754 0.5623 Ni
-1.7316 -3.5123 -3.2047 Ni
0.0000 0.0000 0.0000 Ni
-3.6192 -5.4164 -3.7816 Ni
```

Summary:
Energy in eV/atom: -6.072

no.,DOS at the Fermi energy (states/eV/atom),volume (Å³/f.u.),formation energy (no corrections) (eV per atom)
1,0.39,124,-1.177
2,0.79,217,-0.614